1.
Density functional theory data (PBE-GGA) for a relaxed Ce2Al3SnAu4 crystal.

As for the crystal system: tetragonal. For the uncorrected energy, the calculation gives -46.44 eV/cell.

The space group is P-4m2 (No. 115) and the conventional cell measures 4.4162, 4.4162 and 10.9854 Å, with angles of 90.00, 90.00 and 90.00 degrees. The distinct sites, in fractional coordinates, are Ce at (0.0000, 0.5000, 0.2388), Al at (0.0000, 0.5000, 0.8756), Al at (0.5000, 0.5000, 0.5000), Sn at (0.0000, 0.0000, 0.5000), Au at (0.0000, 0.0000, 0.0000), Au at (0.0000, 0.5000, 0.6491) and Au at (0.5000, 0.5000, 0.0000).

2.
Density functional theory data (PBE-GGA) for a relaxed TbCeAlAu crystal.

As for the crystal system: cubic. For the uncorrected energy, the calculation gives -77.27 eV/cell.

The space group is F-43m (No. 216) and the conventional cell measures 7.3627, 7.3627 and 7.3627 Å, with angles of 90.00, 90.00 and 90.00 degrees. The distinct sites, in fractional coordinates, are Tb at (0.0000, 0.0000, 0.0000), Ce at (0.0000, 0.0000, 0.5000), Al at (0.2500, 0.2500, 0.7500) and Au at (0.2500, 0.2500, 0.2500).

3.
Density functional theory data (PBE-GGA) for a relaxed CeThAlAu crystal.

The value obtained for the energy above the lowest structure with this stoichiometry is 0 meV/atom. As for the crystal system: cubic.

The space group is F-43m (No. 216) and the conventional cell measures 7.4478, 7.4478 and 7.4478 Å, with angles of 90.00, 90.00 and 90.00 degrees. The distinct sites, in fractional coordinates, are Ce at (0.0000, 0.0000, 0.0000), Th at (0.0000, 0.0000, 0.5000), Al at (0.2500, 0.2500, 0.2500) and Au at (0.2500, 0.2500, 0.7500).

4.
Density functional theory data (PBE-GGA) for a relaxed Ce2ThAl2Au2 crystal.

As for the crystal system: trigonal. For the uncorrected energy, the calculation gives -111.29 eV/cell.

The space group is R-3m (No. 166, hexagonal axes) and the conventional cell measures 4.4392, 4.4392 and 28.2353 Å, with angles of 90.00, 90.00 and 120.00 degrees. The distinct sites, in fractional coordinates, are Ce at (0.0000, 0.0000, 0.1434), Th at (0.0000, 0.0000, 0.0000), Al at (0.0000, 0.0000, 0.4080) and Au at (0.0000, 0.0000, 0.2604).

5.
Density functional theory data (PBE-GGA) for a relaxed CeThAlAu crystal.

The value obtained for the energy above the lowest structure with this stoichiometry is 353 meV/atom. As for the crystal system: orthorhombic.

The space group is Amm2 (No. 38) and the conventional cell measures 5.3082, 3.2410 and 12.0625 Å, with angles of 90.00, 90.00 and 90.00 degrees. The distinct sites, in fractional coordinates, are Ce at (0.0000, 0.0000, 0.0000), Th at (0.0000, 0.0000, 0.7254), Al at (0.5000, 0.0000, 0.1399) and Au at (0.5000, 0.0000, 0.8612).

6.
Density functional theory data (PBE-GGA) for a relaxed Ce2TiAl4Au3 crystal.

As for the crystal system: tetragonal. For the uncorrected energy, the calculation gives -50.23 eV/cell.

The space group is P-4m2 (No. 115) and the conventional cell measures 4.2983, 4.2983 and 11.0925 Å, with angles of 90.00, 90.00 and 90.00 degrees. The distinct sites, in fractional coordinates, are Ce at (0.0000, 0.5000, 0.2493), Ti at (0.5000, 0.5000, 0.0000), Al at (0.0000, 0.0000, 0.5000), Al at (0.0000, 0.5000, 0.8581), Al at (0.5000, 0.5000, 0.5000), Au at (0.0000, 0.0000, 0.0000) and Au at (0.0000, 0.5000, 0.6303).

7.
Density functional theory data (PBE-GGA) for a relaxed CeTm2AlAu4 crystal.

As for the crystal system: trigonal. For the uncorrected energy, the calculation gives -111.76 eV/cell.

The space group is R-3m (No. 166, hexagonal axes) and the conventional cell measures 4.8943, 4.8943 and 25.7034 Å, with angles of 90.00, 90.00 and 120.00 degrees. The distinct sites, in fractional coordinates, are Ce at (0.0000, 0.0000, 0.0000), Tm at (0.0000, 0.0000, 0.2393), Al at (0.0000, 0.0000, 0.5000), Au at (0.0000, 0.0000, 0.1231) and Au at (0.0000, 0.0000, 0.3928).

8.
Density functional theory data (PBE-GGA) for a relaxed CeYAlAu crystal.

As for the crystal system: cubic. For the uncorrected energy, the calculation gives -84.84 eV/cell.

The space group is F-43m (No. 216) and the conventional cell measures 7.3596, 7.3596 and 7.3596 Å, with angles of 90.00, 90.00 and 90.00 degrees. The distinct sites, in fractional coordinates, are Ce at (0.0000, 0.0000, 0.0000), Y at (0.0000, 0.0000, 0.5000), Al at (0.2500, 0.2500, 0.7500) and Au at (0.2500, 0.2500, 0.2500).

Fermi-level density of states list, top to bottom, in states/eV/cell: 15.535, 40.958, 34.931, 28.381, 14.267, 14.025, 29.535, 40.083